# 1
{"formula": "Ce4Pr3NdS8", "functional": "PBE-GGA", "state": "relaxed", "lattice_angstrom": [[4.063, 2.346, 6.634], [-4.063, 2.346, 6.634], [0.000, -4.691, 6.634]], "species": ["Ce", "Ce", "Ce", "Ce", "Pr", "Pr", "Pr", "Nd", "S", "S", "S", "S", "S", "S", "S", "S"], "fractional_positions": [[0.000, 0.000, 0.000], [0.000, 0.500, 0.500], [0.500, 0.000, 0.500], [0.500, 0.500, 0.000], [0.000, 0.000, 0.500], [0.000, 0.500, 0.000], [0.500, 0.000, 0.000], [0.500, 0.500, 0.500], [0.249, 0.249, 0.747], [0.249, 0.747, 0.249], [0.252, 0.252, 0.252], [0.253, 0.751, 0.751], [0.747, 0.249, 0.249], [0.748, 0.748, 0.748], [0.751, 0.253, 0.751], [0.751, 0.751, 0.253]], "total_energy_ev_per_cell": -108.45}

=====

# 2
{"formula": "LuHfPb2", "functional": "PBE-GGA", "state": "relaxed", "lattice_angstrom": [[2.432, 1.404, 5.089], [-2.432, 1.404, 5.089], [0.000, -2.808, 5.089]], "species": ["Lu", "Hf", "Pb", "Pb"], "fractional_positions": [[0.000, 0.000, 0.000], [0.500, 0.500, 0.500], [0.246, 0.246, 0.246], [0.754, 0.754, 0.754]], "formation_enthalpy_0k_ev_per_atom": -0.05}

=====

# 3
{"formula": "Fe2CoAgN", "functional": "PBE-GGA", "state": "relaxed", "lattice_angstrom": [[3.878, 0.000, 0.000], [0.000, 3.878, 0.000], [0.000, 0.000, 3.849]], "species": ["Fe", "Fe", "Co", "Ag", "N"], "fractional_positions": [[0.000, 0.500, 0.000], [0.500, 0.000, 0.000], [0.000, 0.000, 0.500], [0.500, 0.500, 0.500], [0.000, 0.000, 0.000]], "total_energy_ev_per_cell": -34.90}